First-principles (PBE) data for crystalline Sc3TePb at its relaxed geometry, as listed in Alexandria.

Computed properties:
- Formation energy without anion corrections: 0.2183 eV per atom
- Space group: Pm-3m, No. 221
- Polymorph energy (0 for the lowest one): 584.4 meV/atom
- ρ: 4.893 g cm⁻³

Geometry as POSCAR:
```
Sc3TePb
1.0
5.422 0.000 0.000
0.000 5.422 0.000
0.000 0.000 5.422
Sc Te Pb
3 1 1
Direct
0.000 0.000 0.500 Sc
0.000 0.500 0.000 Sc
0.500 0.000 0.000 Sc
0.500 0.500 0.500 Te
0.000 0.000 0.000 Pb
```


First-principles (PBE) data for crystalline Sc4Te3Pb at its relaxed geometry, as listed in Alexandria.

Computed properties:
- Formation energy without anion corrections: -0.9430 eV per atom
- Space group: P2/c, No. 13
- Polymorph energy (0 for the lowest one): 5.8 meV/atom
- ρ: 6.168 g cm⁻³

Geometry as POSCAR:
```
Sc4Te3Pb
1.0
7.252 0.000 0.000
0.000 8.379 0.000
-2.427 0.000 6.822
Sc Te Pb
8 6 2
Direct
0.246 0.123 0.001 Sc
0.246 0.371 0.495 Sc
0.246 0.629 0.995 Sc
0.246 0.877 0.501 Sc
0.754 0.123 0.499 Sc
0.754 0.371 0.005 Sc
0.754 0.629 0.505 Sc
0.754 0.877 0.999 Sc
0.000 0.375 0.750 Te
0.000 0.625 0.250 Te
0.500 0.126 0.750 Te
0.500 0.378 0.250 Te
0.500 0.622 0.750 Te
0.500 0.874 0.250 Te
0.000 0.123 0.250 Pb
0.000 0.877 0.750 Pb
```


Q: Which of these has the highest ρ?
A: Sc4Te3Pb